# 1
Material: PuNpOs
Method: DFT, PBE
State: optimized geometry

POSCAR file:
```
PuNpOs
1.0
2.322 -2.352 0.000
2.322 2.352 0.000
-0.954 0.000 10.096
Pu Np Os
2 2 2
Direct
0.198 0.802 0.500
0.802 0.198 0.000
0.266 0.867 0.853
0.867 0.266 0.353
0.344 0.727 0.180
0.727 0.344 0.680
```

Values from the calculation:
* energy of formation: 0.043 eV per atom
* SG: Cc

---

# 2
Material: PuNpOs
Method: DFT, PBE
State: optimized geometry

POSCAR file:
```
PuNpOs
1.0
4.611 0.000 0.000
-2.306 3.994 0.000
0.000 0.000 2.911
Pu Np Os
1 1 1
Direct
0.000 0.000 0.000
0.667 0.333 0.223
0.333 0.667 0.603
```

Values from the calculation:
* energy of formation: 0.029 eV per atom
* SG: P3m1

---

# 3
Material: PuNpOs
Method: DFT, PBE
State: optimized geometry

POSCAR file:
```
PuNpOs
1.0
6.161 0.000 0.000
0.000 3.025 0.000
0.000 0.000 6.297
Pu Np Os
2 2 2
Direct
0.250 0.000 0.183
0.750 0.000 0.817
0.250 0.000 0.801
0.750 0.000 0.199
0.000 0.500 0.500
0.500 0.500 0.500
```

Values from the calculation:
* energy of formation: 0.149 eV per atom
* SG: Pmma

---

# 4
Material: PuNpOs
Method: DFT, PBE
State: optimized geometry

POSCAR file:
```
PuNpOs
1.0
-1.887 1.887 4.072
1.887 -1.887 4.072
1.887 1.887 -4.072
Pu Np Os
1 1 1
Direct
0.000 0.000 0.000
0.319 0.319 0.000
0.655 0.655 0.000
```

Values from the calculation:
* energy of formation: 0.231 eV per atom
* SG: I4mm